Cr2CuSb | Alexandria via LeMat-Bulk | GGA-PBE | optimized geometry; formation energy (no corrections) = 0.471 eV/atom; final energy = -0.470 Ry per atom; magnetization = 0.00 Bohr magnetons per cell; DOS(E_F) = 0.90 states/eV/atom
1.0
2.9649 0.0000 0.0000
0.0000 3.7789 0.0000
-0.5895 0.0000 5.3447
Cr Cu Sb
2 1 1
direct
0.0390 0.0000 0.1902 Cr
0.9610 0.0000 0.8098 Cr
0.5000 0.5000 0.0000 Cu
0.5000 0.5000 0.5000 Sb



Na2CePb | Alexandria via LeMat-Bulk | GGA-PBE | optimized geometry; final energy = -0.213 Ry per atom; magnetization = 0.99 Bohr magnetons per cell; energy relative to the elements = 0.1707 eV per atom; DOS(E_F) = 1.90 states/eV/atom
1.0
1.6685 0.9633 12.7216
-1.6685 0.9633 12.7216
0.0000 -1.9267 12.7216
Na Ce Pb
2 1 1
direct
0.0903 0.0903 0.0903 Na
0.9097 0.9097 0.9097 Na
0.0000 0.0000 0.0000 Ce
0.5000 0.5000 0.5000 Pb



NaTl2TeBr6 | Alexandria via LeMat-Bulk | GGA-PBE | optimized geometry; formation energy (no corrections) = -0.697 eV/atom; final energy = -0.193 Ry per atom; magnetization = 2.06 Bohr magnetons per cell; DOS(E_F) = 0.06 states/eV/atom
1.0
7.6310 0.0000 0.0000
0.0000 12.1838 0.0000
0.0000 0.0000 8.7606
Na Tl Te Br
2 4 2 12
direct
0.2500 0.2500 0.2475 Na
0.7500 0.7500 0.7525 Na
0.2500 0.0412 0.6588 Tl
0.2500 0.4588 0.6588 Tl
0.7500 0.5412 0.3412 Tl
0.7500 0.9588 0.3412 Tl
0.2500 0.7500 0.2350 Te
0.7500 0.2500 0.7650 Te
0.0012 0.2500 0.5343 Br
0.0041 0.2500 0.9723 Br
0.2500 0.0191 0.3062 Br
0.2500 0.4809 0.3062 Br
0.4959 0.2500 0.9723 Br
0.4988 0.2500 0.5343 Br
0.5012 0.7500 0.4657 Br
0.5041 0.7500 0.0277 Br
0.7500 0.5191 0.6938 Br
0.7500 0.9809 0.6938 Br
0.9959 0.7500 0.0277 Br
0.9988 0.7500 0.4657 Br



Rb3Sm3ZrS8 | Alexandria via LeMat-Bulk | GGA-PBE | optimized geometry; formation energy (no corrections) = -1.786 eV/atom; final energy = -0.419 Ry per atom; magnetization = 0.00 Bohr magnetons per cell; DOS(E_F) = 0.00 states/eV/atom
1.0
4.0585 2.3432 7.8481
-4.0585 2.3432 7.8481
0.0000 -4.6863 7.8481
Rb Sm Zr S
3 3 1 8
direct
0.0000 0.5000 0.5000 Rb
0.5000 0.0000 0.5000 Rb
0.5000 0.5000 0.0000 Rb
0.0000 0.0000 0.5000 Sm
0.0000 0.5000 0.0000 Sm
0.5000 0.0000 0.0000 Sm
0.5000 0.5000 0.5000 Zr
0.2317 0.2317 0.2317 S
0.2502 0.7175 0.7175 S
0.2825 0.2825 0.7498 S
0.2825 0.7498 0.2825 S
0.7175 0.2502 0.7175 S
0.7175 0.7175 0.2502 S
0.7498 0.2825 0.2825 S
0.7683 0.7683 0.7683 S



Ca3MgSb | Alexandria via LeMat-Bulk | GGA-PBE | optimized geometry; formation energy (no corrections) = -0.221 eV/atom; final energy = -0.189 Ry per atom; magnetization = 0.00 Bohr magnetons per cell; E above lowest polymorph = 0.0 kJ per mole of atoms; DOS(E_F) = 0.92 states/eV/atom
1.0
5.9395 0.0000 0.0000
0.0000 5.9395 0.0000
0.0000 0.0000 5.9395
Ca Mg Sb
3 1 1
direct
0.0000 0.0000 0.5000 Ca
0.0000 0.5000 0.0000 Ca
0.5000 0.0000 0.0000 Ca
0.5000 0.5000 0.5000 Mg
0.0000 0.0000 0.0000 Sb



CePmY | Alexandria via LeMat-Bulk | GGA-PBE | optimized geometry; final energy = -0.414 Ry per atom; magnetization = 0.33 Bohr magnetons per cell; energy relative to the elements = 0.0784 eV per atom; E above lowest polymorph = 0.0 kJ per mole of atoms; DOS(E_F) = 2.15 states/eV/atom
1.0
-1.7810 1.7810 7.5261
1.7810 -1.7810 7.5261
1.7810 1.7810 -7.5261
Ce Pm Y
1 1 1
direct
0.0000 0.0000 0.0000 Ce
0.3391 0.3391 0.0000 Pm
0.6601 0.6601 0.0000 Y



BeFeTe2I | Alexandria via LeMat-Bulk | GGA-PBE | optimized geometry; formation energy (no corrections) = 0.854 eV/atom; final energy = -0.232 Ry per atom; magnetization = 2.84 Bohr magnetons per cell; E above lowest polymorph = 5.0 kJ per mole of atoms; DOS(E_F) = 1.11 states/eV/atom
1.0
4.9175 0.0000 0.0000
0.0000 4.9175 0.0000
0.0000 0.0000 5.5844
Be Fe Te I
1 1 2 1
direct
0.0000 0.0000 0.0000 Be
0.5000 0.5000 0.5000 Fe
0.0000 0.5000 0.5000 Te
0.5000 0.0000 0.5000 Te
0.5000 0.5000 0.0000 I



KIn2Pd | Alexandria via LeMat-Bulk | GGA-PBE | optimized geometry; final energy = -0.235 Ry per atom; magnetization = 0.00 Bohr magnetons per cell; energy relative to the elements = -0.2611 eV per atom; DOS(E_F) = 0.35 states/eV/atom
1.0
2.3552 1.3598 6.3092
-2.3552 1.3598 6.3092
0.0000 -2.7195 6.3092
K In Pd
1 2 1
direct
0.0000 0.0000 0.0000 K
0.2009 0.2009 0.2009 In
0.7991 0.7991 0.7991 In
0.5000 0.5000 0.5000 Pd



RbSb3Ru | Alexandria via LeMat-Bulk | GGA-PBE | optimized geometry; formation energy (no corrections) = 2.364 eV/atom; final energy = -0.159 Ry per atom; magnetization = 0.04 Bohr magnetons per cell; E above lowest polymorph = 208.5 kJ per mole of atoms; DOS(E_F) = 1.95 states/eV/atom
1.0
5.7148 0.0000 0.0000
0.0000 5.7148 0.0000
0.0000 0.0000 5.7148
Rb Sb Ru
1 3 1
direct
0.0000 0.0000 0.0000 Rb
0.0000 0.0000 0.5000 Sb
0.0000 0.5000 0.0000 Sb
0.5000 0.0000 0.0000 Sb
0.5000 0.5000 0.5000 Ru



MnCrAg2 | Alexandria via LeMat-Bulk | GGA-PBE | optimized geometry; final energy = -0.411 Ry per atom; magnetization = 7.97 Bohr magnetons per cell; energy relative to the elements = 0.5332 eV per atom; E above lowest polymorph = 27.3 kJ per mole of atoms; DOS(E_F) = 0.81 states/eV/atom
1.0
0.0000 3.2269 3.2269
3.2269 0.0000 3.2269
3.2269 3.2269 0.0000
Mn Cr Ag
1 1 2
direct
0.0000 0.0000 0.0000 Mn
0.2500 0.2500 0.2500 Cr
0.5000 0.5000 0.5000 Ag
0.7500 0.7500 0.7500 Ag



USiB | Alexandria via LeMat-Bulk | GGA-PBE | optimized geometry; formation energy (no corrections) = -0.147 eV/atom; final energy = -0.584 Ry per atom; magnetization = 0.80 Bohr magnetons per cell; E above lowest polymorph = 21.8 kJ per mole of atoms; DOS(E_F) = 1.24 states/eV/atom
1.0
2.4074 -4.9026 0.0000
2.4074 4.9026 0.0000
0.0000 0.0000 3.4879
U Si B
2 2 2
direct
0.1072 0.8928 0.7500 U
0.8928 0.1072 0.2500 U
0.4032 0.5968 0.7500 Si
0.5968 0.4032 0.2500 Si
0.2870 0.7130 0.2500 B
0.7130 0.2870 0.7500 B



NdHo3Ni | Alexandria via LeMat-Bulk | GGA-PBE | optimized geometry; final energy = -0.363 Ry per atom; magnetization = 0.00 Bohr magnetons per cell; energy relative to the elements = -0.0821 eV per atom; E above lowest polymorph = 2.2 kJ per mole of atoms; DOS(E_F) = 1.82 states/eV/atom
1.0
5.3098 0.0000 0.0000
0.0000 5.3098 0.0000
0.0000 0.0000 5.3098
Nd Ho Ni
1 3 1
direct
0.0000 0.0000 0.0000 Nd
0.0000 0.5000 0.5000 Ho
0.5000 0.0000 0.5000 Ho
0.5000 0.5000 0.0000 Ho
0.5000 0.5000 0.5000 Ni



Which value of final energy does entry 12 give? -0.363 Ry per atom